{"formula": "Ti6VNi", "functional": "PBE-GGA", "state": "optimized geometry", "lattice_angstrom": [[-2.079, 4.873, 1.405], [-1.008, -1.987, -5.008], [-2.642, -3.723, 3.541]], "species": ["Ni", "V", "Ti", "Ti", "Ti", "Ti", "Ti", "Ti"], "fractional_positions": [[0.500, 0.500, 0.500], [0.000, 0.000, 0.000], [0.055, 0.482, 0.243], [0.482, 0.055, 0.243], [0.945, 0.518, 0.757], [0.735, 0.735, 0.257], [0.265, 0.265, 0.743], [0.518, 0.945, 0.757]], "spacegroup": "No. 12", "e_form_ev_per_fu": 2.0, "vol_a3_per_cell": 133.2}

***

{"formula": "Ta3GaFe4", "functional": "PBE-GGA", "state": "optimized geometry", "lattice_angstrom": [[4.083, 0.000, 1.205], [1.863, 3.633, 1.205], [0.029, 0.018, 7.419]], "species": ["Ta", "Ta", "Ta", "Fe", "Fe", "Fe", "Fe", "Ga"], "fractional_positions": [[0.746, 0.746, 0.763], [0.500, 0.500, 0.500], [0.254, 0.254, 0.237], [0.377, 0.377, 0.869], [0.126, 0.126, 0.621], [0.623, 0.623, 0.131], [0.874, 0.874, 0.379], [0.000, 0.000, 0.000]], "spacegroup": "No. 166", "e_form_ev_per_fu": -1.7, "vol_a3_per_cell": 109.8}

***

{"formula": "GaOsS2N", "functional": "PBE-GGA", "state": "optimized geometry", "lattice_angstrom": [[4.880, 0.000, 0.000], [0.000, 4.880, 0.000], [0.000, 0.000, 3.691]], "species": ["S", "S", "N", "Os", "Ga"], "fractional_positions": [[0.000, 0.500, 0.000], [0.500, 0.000, 0.000], [0.000, 0.000, 0.500], [0.000, 0.000, 0.000], [0.500, 0.500, 0.500]], "relative_energy_mev_per_atom": 0, "spacegroup": "No. 123", "vol_a3_per_cell": 87.9}

***

{"formula": "TbPm4Nd3", "functional": "PBE-GGA", "state": "optimized geometry", "lattice_angstrom": [[6.381, 0.000, 0.000], [0.000, 7.381, 0.000], [0.000, 0.000, 11.801]], "species": ["Pm", "Pm", "Pm", "Pm", "Pm", "Pm", "Pm", "Pm", "Nd", "Nd", "Nd", "Nd", "Nd", "Nd", "Tb", "Tb"], "fractional_positions": [[0.481, 0.875, 0.252], [0.147, 0.875, 0.500], [0.649, 0.125, 0.500], [0.481, 0.875, 0.748], [0.149, 0.875, 0.000], [0.981, 0.125, 0.248], [0.647, 0.125, 0.000], [0.981, 0.125, 0.752], [0.981, 0.625, 0.750], [0.648, 0.625, 0.000], [0.148, 0.375, 0.500], [0.481, 0.375, 0.250], [0.981, 0.625, 0.250], [0.481, 0.375, 0.750], [0.647, 0.625, 0.500], [0.147, 0.375, 0.000]], "relative_energy_mev_per_atom": 0, "spacegroup": "No. 31", "e_form_ev_per_fu": 0.3, "vol_a3_per_cell": 555.8}

***

{"formula": "VCuSe2Br", "functional": "PBE-GGA", "state": "optimized geometry", "lattice_angstrom": [[-2.664, 3.738, 1.216], [-3.929, -2.576, -0.691], [0.131, -1.575, 5.125]], "species": ["Se", "Se", "Br", "V", "Cu"], "fractional_positions": [[0.000, 0.500, 0.000], [0.500, 0.000, 0.000], [0.000, 0.000, 0.500], [0.000, 0.000, 0.000], [0.500, 0.500, 0.500]], "relative_energy_mev_per_atom": 0, "spacegroup": "No. 123", "vol_a3_per_cell": 121.0}

***

{"formula": "ReBiP2O", "functional": "PBE-GGA", "state": "optimized geometry", "lattice_angstrom": [[-2.886, 4.302, 0.061], [-2.548, -1.650, -4.198], [-2.728, -1.864, 2.389]], "species": ["Bi", "Re", "O", "P", "P"], "fractional_positions": [[0.000, 0.000, 0.000], [0.500, 0.500, 0.500], [0.000, 0.000, 0.500], [0.000, 0.500, 0.000], [0.500, 0.000, 0.000]], "relative_energy_mev_per_atom": 1628, "spacegroup": "No. 123", "vol_a3_per_cell": 109.4}

***

{"formula": "Pr2Nd5Er", "functional": "PBE-GGA", "state": "optimized geometry", "lattice_angstrom": [[-3.464, 3.613, 1.319], [-3.979, -1.650, -5.929], [-7.455, -9.989, 7.784]], "species": ["Nd", "Nd", "Nd", "Nd", "Nd", "Nd", "Nd", "Nd", "Nd", "Nd", "Er", "Er", "Pr", "Pr", "Pr", "Pr"], "fractional_positions": [[0.000, 0.498, 0.751], [0.000, 0.998, 0.749], [0.500, 0.249, 0.876], [0.500, 0.251, 0.376], [0.500, 0.749, 0.624], [0.500, 0.751, 0.124], [0.000, 0.500, 0.500], [0.000, 0.000, 0.000], [0.000, 0.502, 0.249], [0.000, 0.002, 0.251], [0.000, 0.000, 0.500], [0.000, 0.500, 0.000], [0.500, 0.748, 0.876], [0.500, 0.248, 0.624], [0.500, 0.752, 0.376], [0.500, 0.252, 0.124]], "spacegroup": "No. 55", "e_form_ev_per_fu": 0.1, "vol_a3_per_cell": 557.4}

***

{"formula": "Tb4Zn2N", "functional": "PBE-GGA", "state": "optimized geometry", "lattice_angstrom": [[4.812, 0.000, 0.000], [0.000, 4.812, 0.000], [2.406, 2.406, 7.068]], "species": ["Tb", "Tb", "Tb", "Tb", "Zn", "Zn", "N"], "fractional_positions": [[0.000, 0.500, 0.000], [0.500, 0.000, 0.000], [0.173, 0.173, 0.654], [0.827, 0.827, 0.346], [0.624, 0.624, 0.752], [0.376, 0.376, 0.248], [0.000, 0.000, 0.000]], "spacegroup": "No. 139", "vol_a3_per_cell": 163.6, "final_energy_ev_per_atom": -4.783}

***

{"formula": "K2AlOs", "functional": "PBE-GGA", "state": "optimized geometry", "lattice_angstrom": [[6.330, 0.002, 0.000], [3.834, 5.036, 0.000], [-5.082, -2.519, 2.809]], "species": ["Os", "K", "K", "Al"], "fractional_positions": [[0.250, 0.750, 0.500], [0.500, 0.500, 0.000], [0.000, 0.000, 0.000], [0.750, 0.250, 0.500]], "spacegroup": "No. 139", "e_form_ev_per_fu": 4.1, "vol_a3_per_cell": 89.5}